Here is RbTiS2 after structural relaxation from Alexandria via LeMat-Bulk. Energies are from PBE-GGA.

Output
- DFT total energy (eV per formula unit) = -18.56
- formation energy (no corrections) (eV/atom) = -0.361
- spin magnetization (Bohr magnetons per cell) = 1.0
- DOS(E_F) (states/eV per atom) = 1.979

Cell lengths 4.882, 4.882, 4.882 Å; angles 60.00, 60.00, 60.00 degrees
Atoms (fractional coordinates):
S (0.250, 0.250, 0.250)
S (0.750, 0.750, 0.750)
Rb (0.500, 0.500, 0.500)
Ti (0.000, 0.000, 0.000)